(1)
The following is a PBE-GGA calculation of a relaxed Sm2HoPb3 crystal, from the Alexandria database.

Calculated values
The space group is No. 65.

```
data_Sm2HoPb3
_space_group_name_H-M_alt 'P 1'
_space_group_IT_number 1
_cell_length_a 8.0265
_cell_length_b 8.0265
_cell_length_c 9.0730
_cell_angle_alpha 90.00
_cell_angle_beta 90.00
_cell_angle_gamma 143.76
loop_
_space_group_symop_operation_xyz
'x,y,z'
loop_
_atom_site_label
_atom_site_type_symbol
_atom_site_fract_x
_atom_site_fract_y
_atom_site_fract_z
Sm1 Sm 0.0000 0.0000 0.0000
Sm2 Sm 0.0000 0.0000 0.5000
Sm3 Sm 0.3331 0.6669 0.0000
Sm4 Sm 0.6669 0.3331 0.0000
Ho1 Ho 0.3322 0.6678 0.5000
Ho2 Ho 0.6678 0.3322 0.5000
Pb1 Pb 0.1676 0.8324 0.2536
Pb2 Pb 0.1676 0.8324 0.7464
Pb3 Pb 0.5000 0.5000 0.2531
Pb4 Pb 0.5000 0.5000 0.7469
Pb5 Pb 0.8324 0.1676 0.2536
Pb6 Pb 0.8324 0.1676 0.7464
```

=====

(2)
The following is a PBE-GGA calculation of a relaxed Sm2HoPb3 crystal, from the Alexandria database.

Calculated values
The space group is No. 36.

```
data_Sm2HoPb3
_space_group_name_H-M_alt 'P 1'
_space_group_IT_number 1
_cell_length_a 10.0480
_cell_length_b 10.0480
_cell_length_c 6.3849
_cell_angle_alpha 90.00
_cell_angle_beta 90.00
_cell_angle_gamma 37.05
loop_
_space_group_symop_operation_xyz
'x,y,z'
loop_
_atom_site_label
_atom_site_type_symbol
_atom_site_fract_x
_atom_site_fract_y
_atom_site_fract_z
Sm1 Sm 0.0820 0.5836 0.5000
Sm2 Sm 0.4164 0.9180 0.5000
Sm3 Sm 0.5836 0.0820 0.0000
Sm4 Sm 0.9180 0.4164 0.0000
Ho1 Ho 0.2517 0.7483 0.0012
Ho2 Ho 0.7483 0.2517 0.5012
Pb1 Pb 0.0861 0.5843 0.0000
Pb2 Pb 0.2482 0.7518 0.5012
Pb3 Pb 0.4157 0.9139 0.0000
Pb4 Pb 0.5843 0.0861 0.5000
Pb5 Pb 0.7518 0.2482 0.0012
Pb6 Pb 0.9139 0.4157 0.5000
```

=====

Stability verdict: (1), ahead by 11.9 kJ/mol of atoms